First-principles (PBE with a Hubbard U) data for a relaxed MnCdAg2F8 crystal, as listed in the Alexandria database.

Results
electronic total energy: -4.122 eV/atom
symmetry: No. 119
D(E_F): 0.84 states/eV/atom

Unit cell a=6.2780 b=6.2780 c=6.2780 alpha=114.23 beta=114.23 gamma=100.32
Closest atoms and distances in Å follow each position.
Atoms (fractional coordinates):
Mn: 0.2500 0.7500 0.5000  4 F 1.91
Cd: 0.0000 0.0000 0.0000  4 F 2.17
Ag: 0.7500 0.2500 0.5000  4 F 2.15
Ag: 0.5000 0.5000 0.0000  4 F 2.33
F: 0.3483 0.0327 0.3157  1 Ag 2.15, 1 Cd 2.17
F: 0.2805 0.5028 0.2223  1 Mn 1.91
F: 0.2805 0.0582 0.7777  1 Mn 1.91
F: 0.7170 0.0327 0.6843  1 Ag 2.15, 1 Cd 2.17
F: 0.9418 0.7195 0.2223  1 Mn 1.91
F: 0.9673 0.2830 0.3157  1 Ag 2.15, 1 Cd 2.17
F: 0.9673 0.6517 0.6843  1 Ag 2.15, 1 Cd 2.17
F: 0.4972 0.7195 0.7777  1 Mn 1.91